# 1
First-principles (GGA-PBE) data for a geometry-optimized Hf2GaB2Ir5 structure, as listed in Alexandria via LeMat-Bulk.

## Properties
* energy relative to the elements: -772 meV per atom
* DFT total energy: -0.64907 Ry/atom

Cell: 9.2187 9.2187 3.2655 Å, 90.00 90.00 90.00°
Closest atoms and distances in Å follow each position.
Space group P4/mbm (No. 127)
Inequivalent atoms, fractional coordinates:
1 Hf 0.1759 0.3241 0.0000 (multiplicity 4)  3 B 2.62-2.80, 6 Ir 2.81-2.87
2 Ga 0.0000 0.0000 0.0000 (multiplicity 2)  8 Ir 2.65
3 B 0.1229 0.6229 0.0000 (multiplicity 4)  6 Ir 2.26-2.29
4 Ir 0.0000 0.5000 0.5000 (multiplicity 2)  4 B 2.29
5 Ir 0.0709 0.7844 0.5000 (multiplicity 8)  2 B 2.26

---

# 2
First-principles (GGA-PBE) data for a geometry-optimized Os2W structure, as listed in Alexandria via LeMat-Bulk.

## Properties
* energy relative to the elements: 458 meV per atom
* energy relative to the lowest polymorph listed for this composition: 459 meV per atom
* DFT total energy: -0.83394 Ry/atom

Cell: 6.2612 6.2612 4.8679 Å, 90.00 90.00 90.00°
Closest atoms and distances in Å follow each position.
Space group I4/mcm (No. 140)
Inequivalent atoms, fractional coordinates:
1 Os 0.1399 0.3601 0.0000 (multiplicity 8)  1 Os 2.48, 4 W 2.71
2 W 0.0000 0.0000 0.2500 (multiplicity 4)  2 W 2.43, 8 Os 2.71

---

# 3
First-principles (GGA-PBE) data for a geometry-optimized Tb3DyTh structure, as listed in Alexandria via LeMat-Bulk.

## Properties
* energy relative to the elements: 41 meV per atom
* energy relative to the lowest polymorph listed for this composition: 0 meV per atom
* DFT total energy: -0.37787 Ry/atom

Cell: 6.2627 6.7638 9.2337 Å, 71.51 89.99 62.46°
Closest atoms and distances in Å follow each position.
Space group P-1 (No. 2)
Inequivalent atoms, fractional coordinates:
1 Tb 0.0351 0.1050 0.1484 (multiplicity 2)  7 Tb 3.50-3.65, 3 Th 3.54-3.60, 2 Dy 3.63-3.64
2 Tb 0.2356 0.6973 0.5509 (multiplicity 2)  4 Dy 3.51-3.63, 5 Tb 3.52-3.65, 3 Th 3.53-3.66
3 Tb 0.4323 0.3031 0.9491 (multiplicity 2)  7 Tb 3.50-3.63, 3 Th 3.53-3.67, 2 Dy 3.55-3.64
4 Dy 0.3609 0.1045 0.6486 (multiplicity 2)  8 Tb 3.51-3.64, 3 Th 3.55-3.59, 1 Dy 3.57
5 Th 0.1762 0.4994 0.2506 (multiplicity 2)  9 Tb 3.53-3.67, 3 Dy 3.55-3.59